# 1
Material: Ca3Cd5Br16
Method: DFT, PBE
State: relaxed

Computed properties:
Uncorrected formation energy in eV per formula unit: -30.59
Space group: Cm
DFT total energy in eV per atom: -2.831

```
24
Lattice="8.3294 0.0474 0.0601 4.1058 7.2474 0.0601 0.0217 0.0127 12.9805" Properties=species:S:1:pos:R:3 pbc="T T T"
Cd 8.2765 4.8552 6.8807
Ca 4.1276 4.8105 3.7665
Br 4.1922 4.8626 11.8234
Br 4.1188 0.1750 2.0127
Br 6.2335 6.0942 5.3392
Ca 6.2130 1.2556 3.7665
Cd 4.1299 2.4227 0.2924
Br 0.1020 0.0598 8.7433
Cd 6.2678 6.0513 10.2676
Br 8.2475 7.1227 8.5892
Cd 2.1262 1.2473 3.7126
Br 6.2900 1.2866 11.8234
Br 4.0780 2.3923 5.3635
Br 8.2297 4.8278 11.8689
Br 0.0803 0.0471 2.2144
Br 2.0814 1.2210 11.7396
Br 10.3556 6.0748 5.4182
Br 6.0819 3.5678 2.0315
Ca 10.3538 6.0738 10.3171
Br 10.2416 3.7234 8.5892
Br 8.3611 2.4674 5.3392
Br 6.3646 3.7336 8.6001
Br 2.1625 3.5098 2.0127
Cd 8.3404 2.5182 10.2676
```



# 2
Material: Pm2Nd3DyTe6
Method: DFT, PBE
State: relaxed

Computed properties:
Uncorrected formation energy in eV per formula unit: -16.74
Space group: C2/m
DFT total energy in eV per atom: -5.333

```
12
Lattice="-4.1394 1.5449 -0.4026 -3.2315 -8.0500 2.3362 2.9612 3.8367 8.7232" Properties=species:S:1:pos:R:3 pbc="T T T"
Nd -2.3909 -5.1417 4.8527
Dy -2.0697 0.7724 -0.2013
Pm -0.7844 -1.1482 3.6590
Te -2.3619 -4.2687 7.9051
Te -2.0479 1.6003 2.7517
Te -1.9591 3.4348 8.8790
Te -0.7570 -0.2911 6.6668
Te -3.6528 -2.3773 3.9900
Nd -2.0189 2.4733 5.8040
Nd -3.6855 -3.2525 0.9668
Te -2.4507 -6.1032 1.7777
Pm -3.6254 -1.5202 6.9978
```



# 3
Material: BaPPb
Method: DFT, PBE
State: relaxed

Computed properties:
Space group: F-43m
DFT total energy in eV per atom: -3.721

```
3
Lattice="-5.1751 -1.2222 -0.3901 -1.6834 -3.2692 -3.8608 -1.6773 -4.9141 1.2108" Properties=species:S:1:pos:R:3 pbc="T T T"
P -4.2679 -4.7027 -1.5201
Pb -6.4019 -7.0541 -2.2801
Ba 0.0000 0.0000 0.0000
```



# 4
Material: KPrPaS4
Method: DFT, PBE
State: relaxed

Computed properties:
Uncorrected formation energy in eV per formula unit: -11.90
Space group: Imma
DFT total energy in eV per atom: -6.254

```
14
Lattice="8.3731 0.0000 0.0000 -4.1866 7.4354 -0.5425 0.0000 -4.4959 7.3937" Properties=species:S:1:pos:R:3 pbc="T T T"
Pa -2.0933 1.4697 3.4256
S 6.0582 -0.8363 2.0234
S -1.8717 3.7757 4.8278
Pr 4.1866 0.0000 0.0000
S 2.3149 -0.8363 2.0234
K 4.1866 4.9809 0.4969
S 1.8717 3.7757 4.8278
S 4.1866 0.4043 4.8648
K 0.0000 -2.0415 6.3543
S 0.0000 2.5352 1.9864
Pr 4.1866 -2.2480 3.6969
S 0.0000 0.6822 5.0337
S 4.1866 2.2573 1.8175
Pa 2.0933 1.4697 3.4256
```



# 5
Material: NbSbI2O
Method: DFT, PBE
State: relaxed

Computed properties:
Uncorrected formation energy in eV per formula unit: 2.05
Space group: P4/mmm
DFT total energy in eV per atom: -4.040

```
5
Lattice="-3.9045 -0.7718 -4.5800 -0.9228 -5.7352 1.7531 -3.0365 1.2172 2.3836" Properties=species:S:1:pos:R:3 pbc="T T T"
I -1.9523 -0.3859 -2.2900
Nb -3.9319 -2.6449 -0.2217
I -0.4614 -2.8676 0.8766
Sb 0.0000 0.0000 0.0000
O -1.5183 0.6086 1.1918
```



# 6
Material: PmNiBiRh
Method: DFT, PBE
State: relaxed

Computed properties:
Space group: F-43m
DFT total energy in eV per atom: -5.788

```
4
Lattice="4.8333 0.0000 0.0000 2.4166 4.1857 0.0000 2.4166 1.3952 3.9464" Properties=species:S:1:pos:R:3 pbc="T T T"
Pm 0.0000 0.0000 0.0000
Ni 2.4166 1.3952 0.9866
Rh 7.2499 4.1857 2.9598
Bi 4.8333 2.7905 1.9732
```



Look up the DFT total energy of the second one. -5.333 eV per atom



What is the formula in the third record? BaPPb



Number 6 is which compound? PmNiBiRh